The following is a GGA-PBE calculation of a geometry-optimized PuSiTc2 structure, from Alexandria.

Output
**Formation energy from raw total energies**: -0.10 eV per atom
**E**: -10.220 eV/atom
**Energy above the most stable polymorph in this dataset**: 0.116 eV/atom
**M_tot**: 3.4 μB per formula unit

Cell and atoms, written as extended XYZ:
```
4
Lattice="3.2052 0.0000 0.0000 0.0000 3.2052 0.0000 0.0000 0.0000 6.2559" Properties=species:S:1:pos:R:3 pbc="T T T"
Si 1.6026 1.6026 0.0000
Tc 0.0000 0.0000 4.8821
Tc 0.0000 0.0000 1.3738
Pu 1.6026 1.6026 3.1280
```



The following is a GGA-PBE calculation of a geometry-optimized CsRbZnCd2 structure, from Alexandria.

Output
**E**: -0.847 eV/atom
**Energy above the most stable polymorph in this dataset**: 0.020 eV/atom
**M_tot**: 0.0 μB per formula unit
**Calculated formation energy**: 0.138 eV/atom

Cell and atoms, written as extended XYZ:
```
5
Lattice="-2.9067 4.7046 -1.4076 0.2424 -1.4963 -5.5014 -5.5212 -3.2218 0.6330" Properties=species:S:1:pos:R:3 pbc="T T T"
Cs -2.7606 -1.6109 0.3165
Zn 0.0000 0.0000 0.0000
Rb -4.0927 -0.0067 -3.1380
Cd 0.1212 -0.7481 -2.7507
Cd -1.4533 2.3523 -0.7038
```



The following is a GGA-PBE calculation of a geometry-optimized SrCa3Np2N6 structure, from Alexandria.

Output
**Formation energy from raw total energies**: -1.09 eV per atom
**E**: -8.052 eV/atom
**M_tot**: 4.0 μB per formula unit

Cell and atoms, written as extended XYZ:
```
12
Lattice="3.5478 0.0000 0.0000 0.0000 7.0781 0.2982 -1.7739 -1.9988 7.3604" Properties=species:S:1:pos:R:3 pbc="T T T"
Sr 1.7739 0.0000 0.0000
Ca 1.7739 3.5391 0.1491
Ca 1.7739 -0.1652 4.9167
Ca 0.0000 5.2445 2.7419
Np 1.7739 3.3910 5.0877
Np 0.0000 1.6882 2.5709
N 0.0000 4.9166 5.0879
N 1.7739 3.3382 2.8596
N 1.7739 0.1627 2.5707
N 0.0000 1.8632 0.5029
N 1.7739 3.2161 7.1557
N 0.0000 1.7411 4.7991
```



The following is a GGA-PBE calculation of a geometry-optimized HfSiTc structure, from Alexandria.

Output
**Formation energy from raw total energies**: -0.90 eV per atom
**E**: -9.478 eV/atom
**Energy above the most stable polymorph in this dataset**: 0.000 eV/atom
**M_tot**: 0.0 μB per formula unit

Cell and atoms, written as extended XYZ:
```
18
Lattice="6.2471 0.0000 -3.0813 -1.5835 5.7597 -3.2105 -0.0656 0.3042 7.7404" Properties=species:S:1:pos:R:3 pbc="T T T"
Hf 4.5895 0.4629 2.1479
Hf -0.5600 5.6010 -0.4188
Hf 0.9384 4.6239 4.2514
Hf 1.7959 1.4400 -1.8835
Hf 0.2319 2.7213 1.1865
Hf 3.7977 3.3427 0.5425
Si 4.3102 1.4399 -3.1238
Si 3.4528 4.6240 3.0114
Si 2.3381 1.0613 0.7511
Si -0.8220 5.0026 2.2176
Si -0.0302 2.1225 3.8230
Si 1.5463 3.9414 -0.8542
Tc 0.0537 0.0000 -0.0265
Tc -0.7381 2.8798 -1.6317
Tc 2.4728 2.3712 3.0344
Tc 3.6954 3.6927 -2.3603
Tc 4.4872 0.8128 -0.7550
Tc 1.6810 5.2511 1.4291
```



The following is a GGA-PBE calculation of a geometry-optimized Te5Au4 structure, from Alexandria.

Output
**Formation energy from raw total energies**: 0.18 eV per atom
**E**: -3.026 eV/atom
**M_tot**: 0.0 μB per formula unit

Cell and atoms, written as extended XYZ:
```
18
Lattice="-3.1345 -6.3690 3.9707 6.7543 3.5919 2.7627 -4.4710 4.9792 4.4572" Properties=species:S:1:pos:R:3 pbc="T T T"
Te 3.9560 3.9430 3.1896
Te -0.2171 0.5538 2.7897
Te -3.4723 -3.5394 4.0970
Te -1.6727 4.6281 4.0303
Te -0.6341 1.6483 8.4009
Te -4.1332 2.1497 4.3309
Te 0.1618 -3.0487 3.5681
Te 1.2226 2.7612 5.3940
Te 3.4581 0.2716 3.1654
Te -2.0737 -0.5591 5.7967
Au 0.0000 0.0000 0.0000
Au -2.2355 2.4896 2.2286
Au 1.6561 2.7199 2.2489
Au 1.0155 -0.3918 5.0825
Au -2.4050 -1.3708 2.7450
Au 0.6272 5.8512 4.9710
Au -1.8667 2.5939 6.1082
Au -5.2005 -0.0189 5.6829
```



The following is a GGA-PBE calculation of a geometry-optimized LaAgF2 structure, from Alexandria.

Output
**Formation energy from raw total energies**: -1.75 eV per atom
**E**: -4.632 eV/atom
**Energy above the most stable polymorph in this dataset**: 0.601 eV/atom
**M_tot**: 0.0 μB per formula unit

Cell and atoms, written as extended XYZ:
```
4
Lattice="6.6403 -0.0506 -0.0313 5.3448 3.9407 -0.0313 5.3448 1.7348 3.5384" Properties=species:S:1:pos:R:3 pbc="T T T"
F 15.2564 4.9519 3.0600
F 2.0734 0.6730 0.4159
Ag 8.6649 2.8124 1.7379
La 0.0000 0.0000 0.0000
```



The following is a GGA-PBE calculation of a geometry-optimized MnTl2Te structure, from Alexandria.

Output
**Formation energy from raw total energies**: 0.08 eV per atom
**E**: -4.183 eV/atom
**Energy above the most stable polymorph in this dataset**: 0.000 eV/atom
**M_tot**: 4.1 μB per formula unit

Cell and atoms, written as extended XYZ:
```
4
Lattice="8.1736 -0.6353 -0.3748 7.4309 3.4632 -0.3748 7.4309 1.3466 3.2126" Properties=species:S:1:pos:R:3 pbc="T T T"
Mn 11.3604 2.0587 1.2146
Te 17.8073 3.2271 1.9039
Tl 0.0208 0.0038 0.0022
Tl 5.3646 0.9722 0.5736
```



The following is a GGA-PBE calculation of a geometry-optimized La5AlCd2 structure, from Alexandria.

Output
**E**: -3.977 eV/atom
**M_tot**: 0.0 μB per formula unit
**Calculated formation energy**: -0.201 eV/atom

Cell and atoms, written as extended XYZ:
```
8
Lattice="-6.7734 0.8390 -0.5469 2.2643 -6.3357 -1.2708 1.6372 1.4066 6.4980" Properties=species:S:1:pos:R:3 pbc="T T T"
La -0.4336 -0.8252 2.7443
La -0.1225 -4.6944 -1.1404
La -3.0028 0.2989 5.7194
La -2.6880 -3.5735 1.8344
La -1.2505 -1.5220 -0.5035
Al -1.8741 -2.8714 5.0832
Cd 0.6986 -3.9929 2.1083
Cd -3.8203 -0.4057 2.4704
```



The following is a GGA-PBE calculation of a geometry-optimized Tl2HgGeAu6 structure, from Alexandria.

Output
**E**: -2.911 eV/atom
**M_tot**: 0.0 μB per formula unit
**Calculated formation energy**: 0.020 eV/atom

Cell and atoms, written as extended XYZ:
```
20
Lattice="6.9663 0.0000 0.0000 0.0000 7.9992 0.0000 0.0000 0.0000 8.6768" Properties=species:S:1:pos:R:3 pbc="T T T"
Tl 3.4832 5.3515 2.6315
Tl 0.0000 2.6477 6.9698
Tl 3.4832 5.3515 6.0453
Tl 0.0000 2.6477 1.7069
Hg 0.0000 5.8144 4.3384
Hg 3.4832 2.1847 0.0000
Ge 3.4832 1.9832 4.3384
Ge 0.0000 6.0160 0.0000
Au 3.4832 0.3844 2.3142
Au 3.4832 0.3844 6.3626
Au 0.0000 7.6147 2.0242
Au 0.0000 7.6147 6.6526
Au 1.4319 0.3532 4.3384
Au 5.5344 0.3532 4.3384
Au 1.4280 3.4297 4.3384
Au 5.5383 3.4297 4.3384
Au 4.9112 4.5695 0.0000
Au 2.0551 4.5695 0.0000
Au 2.0512 7.6460 0.0000
Au 4.9151 7.6460 0.0000
```



The following is a GGA-PBE calculation of a geometry-optimized Be2ZnIr3 structure, from Alexandria.

Output
**E**: -6.279 eV/atom
**M_tot**: 0.0 μB per formula unit
**Calculated formation energy**: -0.394 eV/atom

Cell and atoms, written as extended XYZ:
```
6
Lattice="-0.9172 1.6806 -2.1030 2.0633 -0.9882 -1.6896 -5.4438 -6.5188 -2.8352" Properties=species:S:1:pos:R:3 pbc="T T T"
Be -4.0269 -5.1621 -4.2921
Be -0.2708 -0.6642 -2.3358
Zn -2.1488 -2.9132 -3.3139
Ir 0.0000 0.0000 0.0000
Ir -3.7783 -4.5244 -1.9678
Ir -1.6655 -1.9944 -0.8674
```



The following is a GGA-PBE calculation of a geometry-optimized SrHoAl2Au5 structure, from Alexandria.

Output
**E**: -3.908 eV/atom
**M_tot**: 0.0 μB per formula unit
**Calculated formation energy**: -0.560 eV/atom

Cell and atoms, written as extended XYZ:
```
9
Lattice="-4.0648 -2.4930 -0.7543 2.5959 -3.9916 -0.7966 -0.3676 -1.8634 8.1393" Properties=species:S:1:pos:R:3 pbc="T T T"
Sr -0.1838 -0.9317 4.0697
Ho 0.0000 0.0000 0.0000
Al -0.7922 -3.5351 0.5034
Al -1.0443 -4.8129 6.0850
Au 1.2081 -2.4515 1.5922
Au -2.1223 -1.7022 1.6133
Au 1.0203 -3.4035 5.7505
Au -2.3101 -2.6542 5.7717
Au -0.9182 -4.1740 3.2942
```



The following is a GGA-PBE calculation of a geometry-optimized CeSc2Br6 structure, from Alexandria.

Output
**Formation energy from raw total energies**: -1.55 eV per atom
**E**: -4.736 eV/atom
**M_tot**: 3.3 μB per formula unit

Cell and atoms, written as extended XYZ:
```
9
Lattice="-2.7735 0.2135 2.6479 0.4985 -7.5882 -1.6510 7.4711 4.7634 7.4417" Properties=species:S:1:pos:R:3 pbc="T T T"
Ce 3.7355 2.3817 3.7208
Sc 4.4073 1.6470 7.2687
Sc 0.7891 -4.2584 1.1697
Br 6.3257 -0.2472 6.6458
Br -1.1294 -2.3642 1.7926
Br -0.5189 -6.0890 2.7327
Br 2.7377 0.2792 5.6303
Br 5.7150 3.4776 5.7058
Br 2.4585 -2.8904 2.8083
```



| no. | calculated volume (Å³ per cell) |
| --- | --- |
| 1 | 64.3 |
| 2 | 209.2 |
| 3 | 186.9 |
| 4 | 284.9 |
| 5 | 460.7 |
| 6 | 94.3 |
| 7 | 117.9 |
| 8 | 245.2 |
| 9 | 483.5 |
| 10 | 72.4 |
| 11 | 194.8 |
| 12 | 287.8 |